Rb3Br2Cl: relaxed, PBE-GGA.

Raw total energy, eV per atom: -3.159
Volume, A^3/atom: 41.2

Cell lengths 4.8873, 4.8873, 20.6782 Å; angles 90.00, 90.00, 90.00 degrees
Space group I4/mmm (No. 139)
Asymmetric unit:
Rb: 0.0000 0.0000 0.0000 (multiplicity 2)
Rb: 0.0000 0.0000 0.3387 (multiplicity 4)
Br: 0.0000 0.0000 0.1677 (multiplicity 4)
Cl: 0.0000 0.0000 0.5000 (multiplicity 2)

CaTl2Pb: relaxed, PBE-GGA.

Raw total energy, eV per atom: -2.729
Energy of formation, eV per formula unit: -0.5
Volume, A^3/atom: 31.2

Cell lengths 3.7734, 3.7734, 30.3697 Å; angles 90.00, 90.00, 120.00 degrees
Space group R-3m (No. 166, hexagonal axes)
Asymmetric unit:
Ca: 0.0000 0.0000 0.0000 (multiplicity 3)
Tl: 0.0000 0.0000 0.2501 (multiplicity 6)
Pb: 0.0000 0.0000 0.5000 (multiplicity 3)

- Which of these has the highest volume?
  Rb3Br2Cl

- Number 2 is which compound?
  CaTl2Pb

- Number 2 is which compound?
  CaTl2Pb